Be2SbTe: relaxed, PBE-GGA.

The structure in POSCAR format:
```
Be2SbTe
1.0
-1.8315 1.8315 6.0004
1.8315 -1.8315 6.0004
1.8315 1.8315 -6.0004
Be Sb Te
2 1 1
Direct
0.0000 0.0000 0.0000 Be
0.7500 0.2500 0.5000 Be
0.2500 0.7500 0.5000 Sb
0.5000 0.5000 0.0000 Te
```

Results
**Raw formation energy**: 0.59 eV/atom
**Total DFT energy (no corrections)**: -3.091 eV/atom